No. 1
The following is a DFT calculation (PBE) of a relaxed structure of RbGeOsO6.

Output
**SG**: P312
**Energy relative to the elements, uncorrected**: -1322.3 meV per atom

Geometry as POSCAR:
```
RbGeOsO6
1.0
-3.9394 2.0320 2.7040
-2.4332 -2.8578 3.5877
4.0611 2.0428 4.3815
O Os Rb Ge
6 1 1 1
Direct
0.4094 0.5947 0.3263 O
0.9958 0.5947 0.6737 O
0.4094 0.9959 0.6737 O
0.5947 0.4094 0.6737 O
0.9958 0.4094 0.3263 O
0.5947 0.9959 0.3263 O
0.6666 0.6667 0.5000 Os
0.0000 0.0000 0.0000 Rb
0.3333 0.3333 0.5000 Ge
```



No. 2
The following is a DFT calculation (PBE) of a relaxed structure of La2Tb2Ho.

Output
**Energy relative to the elements**: 237 meV per atom
**SG**: C2/c
**Polymorph energy (0 for the lowest one)**: 0.00 eV per formula unit

Geometry as POSCAR:
```
La2Tb2Ho
1.0
-1.2804 -8.4848 -2.4597
6.3798 0.4072 1.4858
-2.1412 0.3278 6.1953
La Ho Tb
4 2 4
Direct
0.6390 0.0743 0.2468 La
0.8610 0.7532 0.9257 La
0.1390 0.2468 0.0743 La
0.3610 0.9257 0.7532 La
0.2500 0.7933 0.2067 Ho
0.7500 0.2067 0.7933 Ho
0.0000 0.0000 0.5000 Tb
0.5000 0.5000 0.5000 Tb
0.5000 0.5000 0.0000 Tb
0.0000 0.5000 0.5000 Tb
```



E: -6.496, -4.502 (eV/atom)
Fermi-level density of states: 2.92, 16.88 (states/eV/cell)